A relaxed Ce3TmPu2Se6 crystal. Source: Alexandria, functional PBE.

Summary:
D(E_F) ... 32.56 states/eV per cell
ρ ... 8.47 g cm⁻³
E_form (uncorrected) ... -1705 meV per atom
Total moment ... 14.60 μB/cell

Cell: 4.1363 8.3495 9.2919 Å, 103.14 102.86 90.00°
Each line ends with the local moment (μB).
Sites, in units of the cell vectors:
Ce 0.5000 0.5000 0.0000  0.94
Ce 0.1684 0.8349 0.3368  0.89
Ce 0.8316 0.1651 0.6632  0.89
Se 0.3311 0.4199 0.6622  -0.06
Se 0.3381 0.9144 0.6762  -0.04
Se 0.0001 0.7617 0.0003  -0.02
Se 0.6619 0.0856 0.3238  -0.04
Se 0.9999 0.2383 0.9997  -0.02
Se 0.6689 0.5801 0.3378  -0.06
Tm 0.5000 0.0000 0.0000  0.03
Pu 0.8344 0.6666 0.6688  5.41
Pu 0.1656 0.3334 0.3312  5.41